(1)
# GGA-PBE Rb2SrRhPb, optimized geometry
data_Rb2SrRhPb
_cell_length_a 5.940
_cell_length_b 5.940
_cell_length_c 5.815
_cell_angle_alpha 90.00
_cell_angle_beta 90.00
_cell_angle_gamma 90.00
_space_group_name_H-M_alt 'P 4/m m m'
_space_group_IT_number 123
_space_group_name_Hall '-P 4 2'
loop_
_atom_site_label
_atom_site_fract_x
_atom_site_fract_y
_atom_site_fract_z
Rb1 0.000 0.500 0.000
Sr1 0.000 0.000 0.500
Rh1 0.000 0.000 0.000
Pb1 0.500 0.500 0.500
# ΔH_f (0 K) (eV/atom): 0.391

---

(2)
# GGA-PBE TbErInRh, optimized geometry
data_TbErInRh
_cell_length_a 3.519
_cell_length_b 3.519
_cell_length_c 7.523
_cell_angle_alpha 90.00
_cell_angle_beta 90.00
_cell_angle_gamma 90.00
_space_group_name_H-M_alt 'P 4 m m'
_space_group_IT_number 99
_space_group_name_Hall 'P 4 -2'
loop_
_atom_site_label
_atom_site_fract_x
_atom_site_fract_y
_atom_site_fract_z
Tb1 0.000 0.000 0.000
Er1 0.000 0.000 0.566
In1 0.500 0.500 0.287
Rh1 0.500 0.500 0.775
# ΔH_f (0 K) (eV/atom): -0.687
# Polymorph energy (0 for the lowest one) (meV/atom): 0

---

ΔH_f (0 K) of number 1 (Rb2SrRhPb)?
0.391 eV/atom

---

ΔH_f (0 K) of number 2 (TbErInRh)?
-0.687 eV/atom

---

Look up the ΔH_f (0 K) of the first one.
0.391 eV/atom